1.
# PBE-GGA KNaSr2I6, relaxed
# Volume (Å³/f.u.): 467.1
# Formation energy from raw total energies (eV per atom): -1.55
# Crystal system: trigonal
# DOS at the Fermi energy (states/eV/cell): 0.00
data_KNaSr2I6
_space_group_name_H-M_alt 'R 3'
_space_group_IT_number 146
_space_group_name_Hall 'R 3'
_cell_length_a 8.4586
_cell_length_b 8.4586
_cell_length_c 22.6174
_cell_angle_alpha 90.00
_cell_angle_beta 90.00
_cell_angle_gamma 120.00
loop_
_atom_site_label
_atom_site_fract_x
_atom_site_fract_y
_atom_site_fract_z
K1 0.0000 0.0000 0.0000
Na1 0.0000 0.0000 0.5083
Sr1 0.0000 0.0000 0.1979
Sr2 0.0000 0.0000 0.7038
I1 0.0205 0.3497 0.7756
I2 0.0548 0.6979 0.2726

---

2.
# PBE-GGA KNaTaI6, relaxed
# Volume (Å³/f.u.): 404.7
# Formation energy from raw total energies (eV per atom): -0.78
# Crystal system: trigonal
# DOS at the Fermi energy (states/eV/cell): 13.51
data_KNaTaI6
_space_group_name_H-M_alt 'P -3 1 c'
_space_group_IT_number 163
_space_group_name_Hall '-P 3 2c'
_cell_length_a 7.9627
_cell_length_b 7.9627
_cell_length_c 14.7422
_cell_angle_alpha 90.00
_cell_angle_beta 90.00
_cell_angle_gamma 120.00
loop_
_atom_site_label
_atom_site_fract_x
_atom_site_fract_y
_atom_site_fract_z
K1 0.0000 0.0000 0.0000
Na1 0.3333 0.6667 0.2500
Ta1 0.3333 0.6667 0.7500
I1 0.0393 0.3870 0.6391

---

3.
# PBE-GGA K2NaTaI6, relaxed
# Volume (Å³/f.u.): 420.9
# Formation energy from raw total energies (eV per atom): -0.85
# Crystal system: cubic
# DOS at the Fermi energy (states/eV/cell): 27.44
data_K2NaTaI6
_space_group_name_H-M_alt 'F m -3 m'
_space_group_IT_number 225
_space_group_name_Hall '-F 4 2 3'
_cell_length_a 11.896
_cell_length_b 11.896
_cell_length_c 11.896
_cell_angle_alpha 90.00
_cell_angle_beta 90.00
_cell_angle_gamma 90.00
loop_
_atom_site_label
_atom_site_fract_x
_atom_site_fract_y
_atom_site_fract_z
K1 0.250 0.250 0.250
Na1 0.000 0.000 0.000
Ta1 0.000 0.000 0.500
I1 0.000 0.000 0.262

---

4.
# PBE-GGA KNaTcI2, relaxed
# Volume (Å³/f.u.): 216.6
# Formation energy from raw total energies (eV per atom): 0.31
# Crystal system: tetragonal
# DOS at the Fermi energy (states/eV/cell): 2.72
data_KNaTcI2
_space_group_name_H-M_alt 'P 4/m m m'
_space_group_IT_number 123
_space_group_name_Hall '-P 4 2'
_cell_length_a 6.176
_cell_length_b 6.176
_cell_length_c 5.680
_cell_angle_alpha 90.00
_cell_angle_beta 90.00
_cell_angle_gamma 90.00
loop_
_atom_site_label
_atom_site_fract_x
_atom_site_fract_y
_atom_site_fract_z
K1 0.000 0.000 0.000
Na1 0.500 0.500 0.500
Tc1 0.500 0.500 0.000
I1 0.000 0.500 0.500

---

5.
# PBE-GGA KNaTcI6, relaxed
# Volume (Å³/f.u.): 393.9
# Formation energy from raw total energies (eV per atom): -0.62
# Crystal system: trigonal
data_KNaTcI6
_space_group_name_H-M_alt 'P -3 1 c'
_space_group_IT_number 163
_space_group_name_Hall '-P 3 2c'
_cell_length_a 7.9353
_cell_length_b 7.9353
_cell_length_c 14.4469
_cell_angle_alpha 90.00
_cell_angle_beta 90.00
_cell_angle_gamma 120.00
loop_
_atom_site_label
_atom_site_fract_x
_atom_site_fract_y
_atom_site_fract_z
K1 0.0000 0.0000 0.0000
Na1 0.3333 0.6667 0.2500
Tc1 0.3333 0.6667 0.7500
I1 0.0430 0.3938 0.6386

---

6.
# PBE-GGA KNa2TeI, relaxed
# Volume (Å³/f.u.): 227.9
# Formation energy from raw total energies (eV per atom): -0.98
# Crystal system: tetragonal
# DOS at the Fermi energy (states/eV/cell): 0.00
data_KNa2TeI
_space_group_name_H-M_alt 'P 4/m m m'
_space_group_IT_number 123
_space_group_name_Hall '-P 4 2'
_cell_length_a 5.810
_cell_length_b 5.810
_cell_length_c 6.751
_cell_angle_alpha 90.00
_cell_angle_beta 90.00
_cell_angle_gamma 90.00
loop_
_atom_site_label
_atom_site_fract_x
_atom_site_fract_y
_atom_site_fract_z
K1 0.000 0.000 0.000
Na1 0.000 0.500 0.500
Te1 0.000 0.000 0.500
I1 0.500 0.500 0.000

---

7.
# PBE-GGA KNaThI6, relaxed
# Volume (Å³/f.u.): 446.2
# Formation energy from raw total energies (eV per atom): -1.30
# Crystal system: trigonal
# DOS at the Fermi energy (states/eV/cell): 0.00
data_KNaThI6
_space_group_name_H-M_alt 'P -3 1 c'
_space_group_IT_number 163
_space_group_name_Hall '-P 3 2c'
_cell_length_a 8.1883
_cell_length_b 8.1883
_cell_length_c 15.3684
_cell_angle_alpha 90.00
_cell_angle_beta 90.00
_cell_angle_gamma 120.00
loop_
_atom_site_label
_atom_site_fract_x
_atom_site_fract_y
_atom_site_fract_z
K1 0.0000 0.0000 0.0000
Na1 0.3333 0.6667 0.2500
Th1 0.3333 0.6667 0.7500
I1 0.0165 0.3705 0.6335

---

8.
# PBE-GGA KNa3Tl2I6, relaxed
# Volume (Å³/f.u.): 477.1
# Formation energy from raw total energies (eV per atom): -1.09
# Crystal system: monoclinic
# DOS at the Fermi energy (states/eV/cell): 0.00
data_KNa3Tl2I6
_space_group_name_H-M_alt 'C 1 2/m 1'
_space_group_IT_number 12
_space_group_name_Hall '-C 2y'
_cell_length_a 21.149
_cell_length_b 4.794
_cell_length_c 9.721
_cell_angle_alpha 90.00
_cell_angle_beta 104.53
_cell_angle_gamma 90.00
loop_
_atom_site_label
_atom_site_fract_x
_atom_site_fract_y
_atom_site_fract_z
K1 0.000 0.000 0.000
Na1 0.000 0.000 0.500
Na2 0.167 0.500 0.833
Tl1 0.167 0.500 0.334
I1 0.005 0.500 0.736
I2 0.161 0.000 0.598
I3 0.172 0.000 0.069

---

9.
# PBE-GGA KNaTlI3, relaxed
# Volume (Å³/f.u.): 283.4
# Formation energy from raw total energies (eV per atom): -1.09
# Crystal system: monoclinic
# DOS at the Fermi energy (states/eV/cell): 0.00
data_KNaTlI3
_space_group_name_H-M_alt 'P 1 21/m 1'
_space_group_IT_number 11
_space_group_name_Hall '-P 2yb'
_cell_length_a 10.225
_cell_length_b 4.962
_cell_length_c 11.335
_cell_angle_alpha 90.00
_cell_angle_beta 99.79
_cell_angle_gamma 90.00
loop_
_atom_site_label
_atom_site_fract_x
_atom_site_fract_y
_atom_site_fract_z
K1 0.171 0.250 0.196
Na1 0.112 0.250 0.602
Tl1 0.349 0.750 0.853
I1 0.098 0.250 0.867
I2 0.197 0.750 0.478
I3 0.410 0.750 0.151

---

10.
# PBE-GGA K2NaTlI4, relaxed
# Volume (Å³/f.u.): 344.4
# Formation energy from raw total energies (eV per atom): -1.21
# Crystal system: monoclinic
# DOS at the Fermi energy (states/eV/cell): 0.00
data_K2NaTlI4
_space_group_name_H-M_alt 'P 1 2/m 1'
_space_group_IT_number 10
_space_group_name_Hall '-P 2y'
_cell_length_a 8.563
_cell_length_b 4.946
_cell_length_c 8.619
_cell_angle_alpha 90.00
_cell_angle_beta 109.33
_cell_angle_gamma 90.00
loop_
_atom_site_label
_atom_site_fract_x
_atom_site_fract_y
_atom_site_fract_z
K1 0.000 0.000 0.000
K2 0.000 0.500 0.500
Na1 0.500 0.000 0.500
Tl1 0.500 0.500 0.000
I1 0.259 0.000 0.739
I2 0.266 0.500 0.266

---

11.
# PBE-GGA K2Na3TlI6, relaxed
# Volume (Å³/f.u.): 478.9
# Formation energy from raw total energies (eV per atom): -1.23
# Crystal system: monoclinic
# DOS at the Fermi energy (states/eV/cell): 0.00
data_K2Na3TlI6
_space_group_name_H-M_alt 'C 1 2/m 1'
_space_group_IT_number 12
_space_group_name_Hall '-C 2y'
_cell_length_a 21.155
_cell_length_b 4.808
_cell_length_c 9.715
_cell_angle_alpha 90.00
_cell_angle_beta 104.23
_cell_angle_gamma 90.00
loop_
_atom_site_label
_atom_site_fract_x
_atom_site_fract_y
_atom_site_fract_z
K1 0.166 0.000 0.330
Na1 0.000 0.500 0.500
Na2 0.166 0.000 0.831
Tl1 0.000 0.500 0.000
I1 0.006 0.000 0.736
I2 0.161 0.500 0.595
I3 0.172 0.500 0.067

---

12.
# PBE-GGA K3NaTl2I6, relaxed
# Volume (Å³/f.u.): 524.8
# Formation energy from raw total energies (eV per atom): -1.16
# Crystal system: monoclinic
# DOS at the Fermi energy (states/eV/cell): 0.00
data_K3NaTl2I6
_space_group_name_H-M_alt 'C 1 2/m 1'
_space_group_IT_number 12
_space_group_name_Hall '-C 2y'
_cell_length_a 8.649
_cell_length_b 14.976
_cell_length_c 8.605
_cell_angle_alpha 90.00
_cell_angle_beta 109.65
_cell_angle_gamma 90.00
loop_
_atom_site_label
_atom_site_fract_x
_atom_site_fract_y
_atom_site_fract_z
K1 0.000 0.000 0.000
K2 0.000 0.329 0.000
Na1 0.000 0.500 0.500
Tl1 0.000 0.165 0.500
I1 0.236 0.500 0.259
I2 0.239 0.341 0.741

---

13.
# PBE-GGA K3NaTl4I8, relaxed
# Volume (Å³/f.u.): 704.6
# Formation energy from raw total energies (eV per atom): -1.04
# Crystal system: trigonal
# DOS at the Fermi energy (states/eV/cell): 0.00
data_K3NaTl4I8
_space_group_name_H-M_alt 'R -3 m'
_space_group_IT_number 166
_space_group_name_Hall '-R 3 2"'
_cell_length_a 9.9634
_cell_length_b 9.9634
_cell_length_c 24.5860
_cell_angle_alpha 90.00
_cell_angle_beta 90.00
_cell_angle_gamma 120.00
loop_
_atom_site_label
_atom_site_fract_x
_atom_site_fract_y
_atom_site_fract_z
K1 0.0000 0.5000 0.0000
Na1 0.0000 0.0000 0.0000
Tl1 0.0000 0.0000 0.5000
Tl2 0.0000 0.5000 0.5000
I1 0.0000 0.0000 0.2505
I2 0.0110 0.5055 0.7470

---

14.
# PBE-GGA K2NaTmI6, relaxed
# Volume (Å³/f.u.): 443.8
# Formation energy from raw total energies (eV per atom): -1.39
# Crystal system: trigonal
# DOS at the Fermi energy (states/eV/cell): 0.00
data_K2NaTmI6
_space_group_name_H-M_alt 'R 3'
_space_group_IT_number 146
_space_group_name_Hall 'R 3'
_cell_length_a 8.4863
_cell_length_b 8.4863
_cell_length_c 21.3460
_cell_angle_alpha 90.00
_cell_angle_beta 90.00
_cell_angle_gamma 120.00
loop_
_atom_site_label
_atom_site_fract_x
_atom_site_fract_y
_atom_site_fract_z
K1 0.0000 0.0000 0.0000
K2 0.0000 0.0000 0.4933
Na1 0.0000 0.0000 0.2107
Tm1 0.0000 0.0000 0.7060
I1 0.0125 0.4124 0.4520
I2 0.0789 0.7241 0.2894

---

15.
# PBE-GGA KNa2UI8, relaxed
# Volume (Å³/f.u.): 596.5
# Formation energy from raw total energies (eV per atom): -1.00
# Crystal system: triclinic
data_KNa2UI8
_space_group_name_H-M_alt 'P -1'
_space_group_IT_number 2
_space_group_name_Hall '-P 1'
_cell_length_a 7.371
_cell_length_b 8.450
_cell_length_c 10.438
_cell_angle_alpha 110.19
_cell_angle_beta 93.14
_cell_angle_gamma 99.87
loop_
_atom_site_label
_atom_site_fract_x
_atom_site_fract_y
_atom_site_fract_z
K1 0.000 0.000 0.000
Na1 0.461 0.325 0.817
U1 0.000 0.000 0.500
I1 0.121 0.779 0.244
I2 0.257 0.900 0.668
I3 0.282 0.293 0.510
I4 0.417 0.288 0.093

---

16.
# PBE-GGA K2NaUI6, relaxed
# Volume (Å³/f.u.): 441.2
# Formation energy from raw total energies (eV per atom): -1.17
# Crystal system: monoclinic
data_K2NaUI6
_space_group_name_H-M_alt 'P 1 21/c 1'
_space_group_IT_number 14
_space_group_name_Hall '-P 2ybc'
_cell_length_a 8.269
_cell_length_b 8.855
_cell_length_c 14.533
_cell_angle_alpha 90.00
_cell_angle_beta 123.98
_cell_angle_gamma 90.00
loop_
_atom_site_label
_atom_site_fract_x
_atom_site_fract_y
_atom_site_fract_z
K1 0.212 0.090 0.247
Na1 0.000 0.000 0.500
U1 0.500 0.000 0.000
I1 0.132 0.188 0.941
I2 0.260 0.698 0.940
I3 0.375 0.033 0.754

---

17.
# PBE-GGA K3Na3VI8, relaxed
# Volume (Å³/f.u.): 616.2
# Formation energy from raw total energies (eV per atom): -1.16
# Crystal system: monoclinic
data_K3Na3VI8
_space_group_name_H-M_alt 'C 1 2/m 1'
_space_group_IT_number 12
_space_group_name_Hall '-C 2y'
_cell_length_a 16.221
_cell_length_b 9.357
_cell_length_c 9.757
_cell_angle_alpha 90.00
_cell_angle_beta 123.69
_cell_angle_gamma 90.00
loop_
_atom_site_label
_atom_site_fract_x
_atom_site_fract_y
_atom_site_fract_z
K1 0.000 0.000 0.000
K2 0.250 0.250 0.000
Na1 0.000 0.500 0.500
Na2 0.250 0.250 0.500
V1 0.000 0.000 0.500
I1 0.007 0.223 0.299
I2 0.216 0.000 0.701
I3 0.241 0.500 0.724

---

18.
# PBE-GGA K2NaVI6, relaxed
# Volume (Å³/f.u.): 402.3
# Formation energy from raw total energies (eV per atom): -0.98
# Crystal system: triclinic
# DOS at the Fermi energy (states/eV/cell): 9.97
data_K2NaVI6
_space_group_name_H-M_alt 'P -1'
_space_group_IT_number 2
_space_group_name_Hall '-P 1'
_cell_length_a 8.157
_cell_length_b 8.160
_cell_length_c 8.164
_cell_angle_alpha 62.09
_cell_angle_beta 62.09
_cell_angle_gamma 62.11
loop_
_atom_site_label
_atom_site_fract_x
_atom_site_fract_y
_atom_site_fract_z
K1 0.232 0.232 0.231
Na1 0.500 0.500 0.500
V1 0.000 0.000 0.000
I1 0.148 0.315 0.782
I2 0.219 0.852 0.685
I3 0.314 0.782 0.148

---

19.
# PBE-GGA K2NaYI6, relaxed
# Volume (Å³/f.u.): 449.7
# Formation energy from raw total energies (eV per atom): -1.40
# Crystal system: trigonal
# DOS at the Fermi energy (states/eV/cell): 0.00
data_K2NaYI6
_space_group_name_H-M_alt 'R 3'
_space_group_IT_number 146
_space_group_name_Hall 'R 3'
_cell_length_a 8.5121
_cell_length_b 8.5121
_cell_length_c 21.5000
_cell_angle_alpha 90.00
_cell_angle_beta 90.00
_cell_angle_gamma 120.00
loop_
_atom_site_label
_atom_site_fract_x
_atom_site_fract_y
_atom_site_fract_z
K1 0.0000 0.0000 0.0000
K2 0.0000 0.0000 0.4935
Na1 0.0000 0.0000 0.2101
Y1 0.0000 0.0000 0.7053
I1 0.0092 0.4087 0.4511
I2 0.0761 0.7226 0.2877

---

20.
# PBE-GGA K3Na3ZnI8, relaxed
# Volume (Å³/f.u.): 616.2
# Formation energy from raw total energies (eV per atom): -1.17
# Crystal system: monoclinic
# DOS at the Fermi energy (states/eV/cell): 0.00
data_K3Na3ZnI8
_space_group_name_H-M_alt 'C 1 2/m 1'
_space_group_IT_number 12
_space_group_name_Hall '-C 2y'
_cell_length_a 16.170
_cell_length_b 9.321
_cell_length_c 9.797
_cell_angle_alpha 90.00
_cell_angle_beta 123.42
_cell_angle_gamma 90.00
loop_
_atom_site_label
_atom_site_fract_x
_atom_site_fract_y
_atom_site_fract_z
K1 0.000 0.000 0.000
K2 0.250 0.250 0.000
Na1 0.000 0.500 0.500
Na2 0.250 0.250 0.500
Zn1 0.000 0.000 0.500
I1 0.007 0.225 0.297
I2 0.218 0.000 0.703
I3 0.241 0.500 0.724